# 1
The following is a DFT calculation (GGA-PBE) of crystalline ZnSiNO at its relaxed geometry.

Cell and atoms, written as CIF:
```
data_ZnSiNO
_chemical_formula_sum 'Zn2 Si2 N2 O2'
_cell_length_a 3.3061
_cell_length_b 5.4499
_cell_length_c 5.0289
_cell_angle_alpha 90.00
_cell_angle_beta 90.00
_cell_angle_gamma 90.00
_space_group_name_H-M_alt 'P m c 21'
_space_group_IT_number 26
_space_group_name_Hall 'P 2c -2'
loop_
_atom_site_label
_atom_site_type_symbol
_atom_site_fract_x
_atom_site_fract_y
_atom_site_fract_z
Zn1 Zn 0.0000 0.1784 0.0000
Si1 Si 0.5000 0.3338 0.5132
N1 N 0.5000 0.3737 0.8617
O1 O 0.0000 0.2118 0.4297
```

Final energy in eV per atom: -5.836


# 2
The following is a DFT calculation (GGA-PBE) of crystalline ZnSiNO at its relaxed geometry.

Cell and atoms, written as CIF:
```
data_ZnSiNO
_chemical_formula_sum 'Zn4 Si4 N4 O4'
_cell_length_a 5.0418
_cell_length_b 8.0081
_cell_length_c 4.7580
_cell_angle_alpha 90.00
_cell_angle_beta 90.00
_cell_angle_gamma 90.00
_space_group_name_H-M_alt 'P c a 21'
_space_group_IT_number 29
_space_group_name_Hall 'P 2c -2ac'
loop_
_atom_site_label
_atom_site_type_symbol
_atom_site_fract_x
_atom_site_fract_y
_atom_site_fract_z
Zn1 Zn 0.1101 0.0900 0.0000
Si1 Si 0.0743 0.5946 0.0730
N1 N 0.1104 0.5712 0.7121
O1 O 0.0596 0.2268 0.6518
```

Final energy in eV per atom: -6.110


# 3
The following is a DFT calculation (GGA-PBE) of crystalline ZnSiNO at its relaxed geometry.

Cell and atoms, written as CIF:
```
data_ZnSiNO
_chemical_formula_sum 'Zn2 Si2 N2 O2'
_cell_length_a 3.4093
_cell_length_b 3.4093
_cell_length_c 6.9914
_cell_angle_alpha 90.00
_cell_angle_beta 90.00
_cell_angle_gamma 90.00
_space_group_name_H-M_alt 'P 4/n m m'
_space_group_IT_number 129
loop_
_space_group_symop_operation_xyz
'x,y,z'
'-x,-y,-z'
'-y+1/2,x,z'
'y+1/2,-x,-z'
'-x+1/2,-y+1/2,z'
'x+1/2,y+1/2,-z'
'y,-x+1/2,z'
'-y,x+1/2,-z'
'x+1/2,-y,-z'
'-x+1/2,y,z'
'-y,-x,-z'
'y,x,z'
'-x,y+1/2,-z'
'x,-y+1/2,z'
'y+1/2,x+1/2,-z'
'-y+1/2,-x+1/2,z'
loop_
_atom_site_label
_atom_site_type_symbol
_atom_site_fract_x
_atom_site_fract_y
_atom_site_fract_z
Zn1 Zn 0.2500 0.7500 0.0000
Si1 Si 0.2500 0.2500 0.3639
N1 N 0.2500 0.2500 0.8213
O1 O 0.2500 0.7500 0.5000
```

Final energy in eV per atom: -5.052


# 4
The following is a DFT calculation (GGA-PBE) of crystalline ZnSiNO at its relaxed geometry.

Cell and atoms, written as CIF:
```
data_ZnSiNO
_chemical_formula_sum 'Zn4 Si4 N4 O4'
_cell_length_a 5.2453
_cell_length_b 7.0330
_cell_length_c 4.5487
_cell_angle_alpha 90.00
_cell_angle_beta 90.00
_cell_angle_gamma 90.00
_space_group_name_H-M_alt 'P c a 21'
_space_group_IT_number 29
_space_group_name_Hall 'P 2c -2ac'
loop_
_atom_site_label
_atom_site_type_symbol
_atom_site_fract_x
_atom_site_fract_y
_atom_site_fract_z
Zn1 Zn 0.0641 0.1203 0.0000
Si1 Si 0.1000 0.6441 0.0653
N1 N 0.0493 0.1544 0.4514
O1 O 0.1319 0.5062 0.7395
```

Final energy in eV per atom: -5.677


# 5
The following is a DFT calculation (GGA-PBE) of crystalline ZnSiNO at its relaxed geometry.

Cell and atoms, written as CIF:
```
data_ZnSiNO
_chemical_formula_sum 'Zn2 Si2 N2 O2'
_cell_length_a 4.0024
_cell_length_b 4.0024
_cell_length_c 5.2030
_cell_angle_alpha 90.00
_cell_angle_beta 90.00
_cell_angle_gamma 90.00
_space_group_name_H-M_alt 'P 4/n m m'
_space_group_IT_number 129
loop_
_space_group_symop_operation_xyz
'x,y,z'
'-x,-y,-z'
'-y+1/2,x,z'
'y+1/2,-x,-z'
'-x+1/2,-y+1/2,z'
'x+1/2,y+1/2,-z'
'y,-x+1/2,z'
'-y,x+1/2,-z'
'x+1/2,-y,-z'
'-x+1/2,y,z'
'-y,-x,-z'
'y,x,z'
'-x,y+1/2,-z'
'x,-y+1/2,z'
'y+1/2,x+1/2,-z'
'-y+1/2,-x+1/2,z'
loop_
_atom_site_label
_atom_site_type_symbol
_atom_site_fract_x
_atom_site_fract_y
_atom_site_fract_z
Zn1 Zn 0.2500 0.2500 0.0772
Si1 Si 0.2500 0.7500 0.5000
N1 N 0.2500 0.2500 0.4955
O1 O 0.2500 0.7500 0.0000
```

Final energy in eV per atom: -5.375


# 6
The following is a DFT calculation (GGA-PBE) of crystalline ZnSiNO at its relaxed geometry.

Cell and atoms, written as CIF:
```
data_ZnSiNO
_chemical_formula_sum 'Zn2 Si2 N2 O2'
_cell_length_a 2.9171
_cell_length_b 6.4020
_cell_length_c 5.1168
_cell_angle_alpha 90.00
_cell_angle_beta 90.00
_cell_angle_gamma 90.00
_space_group_name_H-M_alt 'P m c 21'
_space_group_IT_number 26
_space_group_name_Hall 'P 2c -2'
loop_
_atom_site_label
_atom_site_type_symbol
_atom_site_fract_x
_atom_site_fract_y
_atom_site_fract_z
Zn1 Zn 0.0000 0.0918 0.0000
Si1 Si 0.5000 0.3554 0.5658
N1 N 0.0000 0.2175 0.6188
O1 O 0.5000 0.4433 0.2641
```

Final energy in eV per atom: -6.025


# 7
The following is a DFT calculation (GGA-PBE) of crystalline ZrSiNO at its relaxed geometry.

Cell and atoms, written as CIF:
```
data_ZrSiNO
_chemical_formula_sum 'Zr2 Si2 N2 O2'
_cell_length_a 3.6614
_cell_length_b 3.6614
_cell_length_c 7.1311
_cell_angle_alpha 90.00
_cell_angle_beta 90.00
_cell_angle_gamma 90.00
_space_group_name_H-M_alt 'P 4/n m m'
_space_group_IT_number 129
loop_
_space_group_symop_operation_xyz
'x,y,z'
'-x,-y,-z'
'-y+1/2,x,z'
'y+1/2,-x,-z'
'-x+1/2,-y+1/2,z'
'x+1/2,y+1/2,-z'
'y,-x+1/2,z'
'-y,x+1/2,-z'
'x+1/2,-y,-z'
'-x+1/2,y,z'
'-y,-x,-z'
'y,x,z'
'-x,y+1/2,-z'
'x,-y+1/2,z'
'y+1/2,x+1/2,-z'
'-y+1/2,-x+1/2,z'
loop_
_atom_site_label
_atom_site_type_symbol
_atom_site_fract_x
_atom_site_fract_y
_atom_site_fract_z
Zr1 Zr 0.2500 0.2500 0.1618
Si1 Si 0.2500 0.7500 0.5000
N1 N 0.2500 0.2500 0.6552
O1 O 0.2500 0.7500 0.0000
```

Final energy in eV per atom: -7.574
Magnetic moment in μB/f.u.: 0.02


# 8
The following is a DFT calculation (GGA-PBE) of crystalline ZrSiNO at its relaxed geometry.

Cell and atoms, written as CIF:
```
data_ZrSiNO
_chemical_formula_sum 'Zr2 Si2 N2 O2'
_cell_length_a 4.2974
_cell_length_b 4.2974
_cell_length_c 4.8952
_cell_angle_alpha 90.00
_cell_angle_beta 90.00
_cell_angle_gamma 90.00
_space_group_name_H-M_alt 'P 4/n m m'
_space_group_IT_number 129
loop_
_space_group_symop_operation_xyz
'x,y,z'
'-x,-y,-z'
'-y+1/2,x,z'
'y+1/2,-x,-z'
'-x+1/2,-y+1/2,z'
'x+1/2,y+1/2,-z'
'y,-x+1/2,z'
'-y,x+1/2,-z'
'x+1/2,-y,-z'
'-x+1/2,y,z'
'-y,-x,-z'
'y,x,z'
'-x,y+1/2,-z'
'x,-y+1/2,z'
'y+1/2,x+1/2,-z'
'-y+1/2,-x+1/2,z'
loop_
_atom_site_label
_atom_site_type_symbol
_atom_site_fract_x
_atom_site_fract_y
_atom_site_fract_z
Zr1 Zr 0.2500 0.7500 0.0000
Si1 Si 0.2500 0.2500 0.4795
N1 N 0.2500 0.2500 0.8385
O1 O 0.2500 0.7500 0.5000
```

Final energy in eV per atom: -8.008
Magnetic moment in μB/f.u.: 0.00


# 9
The following is a DFT calculation (GGA-PBE) of crystalline ZrSiNO at its relaxed geometry.

Cell and atoms, written as CIF:
```
data_ZrSiNO
_chemical_formula_sum 'Zr2 Si2 N2 O2'
_cell_length_a 3.5233
_cell_length_b 5.6774
_cell_length_c 4.8043
_cell_angle_alpha 90.00
_cell_angle_beta 90.00
_cell_angle_gamma 90.00
_space_group_name_H-M_alt 'P m c 21'
_space_group_IT_number 26
_space_group_name_Hall 'P 2c -2'
loop_
_atom_site_label
_atom_site_type_symbol
_atom_site_fract_x
_atom_site_fract_y
_atom_site_fract_z
Zr1 Zr 0.0000 0.1554 0.0000
Si1 Si 0.5000 0.3257 0.5291
N1 N 0.5000 0.3871 0.8908
O1 O 0.0000 0.2463 0.5059
```

Final energy in eV per atom: -8.069
Magnetic moment in μB/f.u.: 0.00


# 10
The following is a DFT calculation (GGA-PBE) of crystalline ZrSiNO at its relaxed geometry.

Cell and atoms, written as CIF:
```
data_ZrSiNO
_chemical_formula_sum 'Zr4 Si4 N4 O4'
_cell_length_a 5.5083
_cell_length_b 7.3800
_cell_length_c 4.8871
_cell_angle_alpha 90.00
_cell_angle_beta 90.00
_cell_angle_gamma 90.00
_space_group_name_H-M_alt 'P c a 21'
_space_group_IT_number 29
_space_group_name_Hall 'P 2c -2ac'
loop_
_atom_site_label
_atom_site_type_symbol
_atom_site_fract_x
_atom_site_fract_y
_atom_site_fract_z
Zr1 Zr 0.0933 0.0797 0.0000
Si1 Si 0.0949 0.5963 0.9643
N1 N 0.1080 0.5726 0.6036
O1 O 0.0392 0.2187 0.5592
```

Final energy in eV per atom: -8.067
Magnetic moment in μB/f.u.: 0.00


# 11
The following is a DFT calculation (GGA-PBE) of crystalline ZrSiNO at its relaxed geometry.

Cell and atoms, written as CIF:
```
data_ZrSiNO
_chemical_formula_sum 'Zr4 Si4 N4 O4'
_cell_length_a 6.7774
_cell_length_b 6.3461
_cell_length_c 4.6831
_cell_angle_alpha 90.00
_cell_angle_beta 90.00
_cell_angle_gamma 90.00
_space_group_name_H-M_alt 'P b c m'
_space_group_IT_number 57
_space_group_name_Hall '-P 2c 2b'
loop_
_atom_site_label
_atom_site_type_symbol
_atom_site_fract_x
_atom_site_fract_y
_atom_site_fract_z
Zr1 Zr 0.1670 0.0868 0.2500
Si1 Si 0.3039 0.6657 0.2500
N1 N 0.1480 0.0604 0.7500
O1 O 0.4618 0.1107 0.2500
```

Final energy in eV per atom: -8.322
Magnetic moment in μB/f.u.: 0.00